Entry 1:
The following is a GGA-PBE calculation of Tb4PmSm2 after structural relaxation, from the Alexandria database.

Calculated values
energy relative to the elements: 40 meV per atom

```
Tb4PmSm2
1.0
8.440 -1.779 0.000
8.440 1.779 0.000
-4.368 0.000 7.676
Tb Pm Sm
4 1 2
Direct
0.144 0.144 0.342 Tb
0.206 0.206 0.793 Tb
0.794 0.794 0.207 Tb
0.856 0.856 0.658 Tb
0.500 0.500 0.500 Pm
0.430 0.430 0.072 Sm
0.570 0.570 0.928 Sm
```

Entry 2:
The following is a GGA-PBE calculation of SrMoAs after structural relaxation, from the Alexandria database.

Calculated values
energy relative to the elements: -65 meV per atom

```
SrMoAs
1.0
-1.710 1.710 5.773
1.710 -1.710 5.773
1.710 1.710 -5.773
Sr Mo As
1 1 1
Direct
0.000 0.000 0.000 Sr
0.293 0.293 0.000 Mo
0.712 0.712 0.000 As
```

Entry 3:
The following is a GGA-PBE calculation of Nd12Cd6Hg after structural relaxation, from the Alexandria database.

Calculated values
energy relative to the elements: -142 meV per atom

```
Nd12Cd6Hg
1.0
7.606 4.391 2.801
-7.606 4.391 2.801
0.000 -8.783 2.801
Nd Cd Hg
12 6 1
Direct
0.031 0.300 0.178 Nd
0.178 0.031 0.300 Nd
0.238 0.606 0.673 Nd
0.300 0.178 0.031 Nd
0.327 0.762 0.394 Nd
0.394 0.327 0.762 Nd
0.606 0.673 0.238 Nd
0.673 0.238 0.606 Nd
0.700 0.822 0.969 Nd
0.762 0.394 0.327 Nd
0.822 0.969 0.700 Nd
0.969 0.700 0.822 Nd
0.076 0.857 0.553 Cd
0.143 0.447 0.924 Cd
0.447 0.924 0.143 Cd
0.553 0.076 0.857 Cd
0.857 0.553 0.076 Cd
0.924 0.143 0.447 Cd
0.500 0.500 0.500 Hg
```

Entry 4:
The following is a GGA-PBE calculation of Cs3Hg7Au2 after structural relaxation, from the Alexandria database.

Calculated values
energy relative to the elements: -234 meV per atom

```
Cs3Hg7Au2
1.0
5.376 0.000 0.000
0.000 5.196 0.000
-2.660 0.000 15.653
Cs Hg Au
3 7 2
Direct
0.000 0.000 0.000 Cs
0.322 0.500 0.647 Cs
0.678 0.500 0.353 Cs
0.090 0.500 0.173 Hg
0.224 0.000 0.446 Hg
0.418 0.000 0.832 Hg
0.500 0.500 0.000 Hg
0.582 0.000 0.168 Hg
0.776 0.000 0.554 Hg
0.910 0.500 0.827 Hg
0.127 0.000 0.260 Au
0.873 0.000 0.740 Au
```

Entry 5:
The following is a GGA-PBE calculation of Tl2PbSe2 after structural relaxation, from the Alexandria database.

Calculated values
formation energy without anion corrections: -0.251 eV/atom

```
Tl2PbSe2
1.0
8.409 0.000 0.000
0.000 8.409 0.000
0.000 0.000 4.251
Tl Pb Se
4 2 4
Direct
0.138 0.362 0.000 Tl
0.362 0.862 0.000 Tl
0.638 0.138 0.000 Tl
0.862 0.638 0.000 Tl
0.000 0.000 0.500 Pb
0.500 0.500 0.500 Pb
0.174 0.674 0.500 Se
0.326 0.174 0.500 Se
0.674 0.826 0.500 Se
0.826 0.326 0.500 Se
```

Entry 6:
The following is a GGA-PBE calculation of Ac4SnRh2 after structural relaxation, from the Alexandria database.

Calculated values
energy relative to the elements: -628 meV per atom

```
Ac4SnRh2
1.0
2.271 -7.130 0.000
2.271 7.130 0.000
0.000 0.000 14.602
Ac Sn Rh
8 2 4
Direct
0.000 0.000 0.000 Ac
0.000 0.000 0.500 Ac
0.269 0.731 0.613 Ac
0.269 0.731 0.887 Ac
0.438 0.562 0.250 Ac
0.562 0.438 0.750 Ac
0.731 0.269 0.113 Ac
0.731 0.269 0.387 Ac
0.112 0.888 0.250 Sn
0.888 0.112 0.750 Sn
0.372 0.628 0.060 Rh
0.372 0.628 0.440 Rh
0.628 0.372 0.560 Rh
0.628 0.372 0.940 Rh
```

Entry 7:
The following is a GGA-PBE calculation of VCu2HAu after structural relaxation, from the Alexandria database.

Calculated values
uncorrected energy: -0.345 Ry/atom

```
VCu2HAu
1.0
3.958 0.000 0.000
0.000 3.958 0.000
0.000 0.000 3.810
V Cu H Au
1 2 1 1
Direct
0.000 0.000 0.000 V
0.000 0.500 0.500 Cu
0.500 0.000 0.500 Cu
0.000 0.000 0.500 H
0.500 0.500 0.000 Au
```

Entry 8:
The following is a GGA-PBE calculation of YHfPbO2 after structural relaxation, from the Alexandria database.

Calculated values
formation energy without anion corrections: -1.599 eV/atom

```
YHfPbO2
1.0
4.180 0.000 0.000
0.000 4.180 0.000
0.000 0.000 5.968
Y Hf Pb O
1 1 1 2
Direct
0.000 0.000 0.000 Y
0.500 0.500 0.500 Hf
0.500 0.500 0.000 Pb
0.000 0.500 0.500 O
0.500 0.000 0.500 O
```

Entry 9:
The following is a GGA-PBE calculation of AcSiB after structural relaxation, from the Alexandria database.

Calculated values
formation energy without anion corrections: -0.364 eV/atom

```
AcSiB
1.0
-1.836 3.225 4.847
1.836 -3.225 4.847
1.836 3.225 -4.847
Ac Si B
2 2 2
Direct
0.248 0.248 0.000 Ac
0.752 0.752 0.000 Ac
0.194 0.500 0.694 Si
0.806 0.500 0.306 Si
0.364 0.000 0.364 B
0.636 0.000 0.636 B
```

Entry 10:
The following is a GGA-PBE calculation of Sr2CrCl after structural relaxation, from the Alexandria database.

Calculated values
formation energy without anion corrections: -0.419 eV/atom

```
Sr2CrCl
1.0
3.903 0.000 0.000
0.000 4.200 0.000
0.000 0.000 8.754
Sr Cr Cl
2 1 1
Direct
0.000 0.000 0.232 Sr
0.000 0.000 0.768 Sr
0.500 0.500 0.000 Cr
0.500 0.000 0.500 Cl
```

Entry 11:
The following is a GGA-PBE calculation of U3CoAg3S8 after structural relaxation, from the Alexandria database.

Calculated values
formation energy without anion corrections: -0.741 eV/atom

```
U3CoAg3S8
1.0
6.638 -3.833 0.000
6.638 3.833 0.000
-4.435 0.000 6.362
U Co Ag S
3 1 3 8
Direct
0.000 0.000 0.000 U
0.000 0.500 0.000 U
0.500 0.000 0.000 U
0.500 0.500 0.000 Co
0.000 0.500 0.500 Ag
0.500 0.000 0.500 Ag
0.500 0.500 0.500 Ag
0.248 0.248 0.244 S
0.264 0.730 0.224 S
0.270 0.270 0.776 S
0.270 0.736 0.776 S
0.730 0.264 0.224 S
0.730 0.730 0.224 S
0.736 0.270 0.776 S
0.752 0.752 0.756 S
```

Entry 12:
The following is a GGA-PBE calculation of Mo2IrRh after structural relaxation, from the Alexandria database.

Calculated values
energy relative to the elements: -246 meV per atom

```
Mo2IrRh
1.0
0.000 2.763 3.924
2.757 0.000 3.924
2.757 2.763 0.000
Mo Ir Rh
2 1 1
Direct
0.250 0.250 0.250 Mo
0.750 0.750 0.750 Mo
0.000 0.000 0.000 Ir
0.500 0.500 0.500 Rh
```

Entry 13:
The following is a GGA-PBE calculation of Pa3Cu4Si4 after structural relaxation, from the Alexandria database.

Calculated values
formation energy without anion corrections: -0.414 eV/atom

```
Pa3Cu4Si4
1.0
-2.126 3.191 6.893
2.126 -3.191 6.893
2.126 3.191 -6.893
Pa Cu Si
3 4 4
Direct
0.000 0.000 0.000 Pa
0.372 0.872 0.500 Pa
0.628 0.128 0.500 Pa
0.025 0.333 0.692 Cu
0.359 0.667 0.692 Cu
0.641 0.333 0.308 Cu
0.975 0.667 0.308 Cu
0.213 0.213 0.000 Si
0.312 0.500 0.812 Si
0.688 0.500 0.188 Si
0.787 0.787 0.000 Si
```

Entry 14:
The following is a GGA-PBE calculation of Sr2NbTlSb after structural relaxation, from the Alexandria database.

Calculated values
formation energy without anion corrections: 0.336 eV/atom

```
Sr2NbTlSb
1.0
5.933 0.000 0.000
0.000 5.933 0.000
0.000 0.000 5.363
Sr Nb Tl Sb
2 1 1 1
Direct
0.000 0.500 0.000 Sr
0.500 0.000 0.000 Sr
0.000 0.000 0.000 Nb
0.500 0.500 0.500 Tl
0.000 0.000 0.500 Sb
```

Entry 15:
The following is a GGA-PBE calculation of LiTi2Au3 after structural relaxation, from the Alexandria database.

Calculated values
energy relative to the elements: -414 meV per atom

```
LiTi2Au3
1.0
2.999 0.000 0.000
0.000 2.999 0.000
0.000 0.000 10.997
Li Ti Au
1 2 3
Direct
0.000 0.000 0.000 Li
0.000 0.000 0.323 Ti
0.000 0.000 0.677 Ti
0.500 0.500 0.153 Au
0.500 0.500 0.500 Au
0.500 0.500 0.847 Au
```

Entry 16:
The following is a GGA-PBE calculation of ZrRe2Rh after structural relaxation, from the Alexandria database.

Calculated values
energy relative to the elements: -59 meV per atom

```
ZrRe2Rh
1.0
4.846 -1.417 0.000
4.846 1.417 0.000
-0.860 0.000 4.737
Zr Re Rh
1 2 1
Direct
0.000 0.000 0.000 Zr
0.235 0.235 0.736 Re
0.765 0.765 0.264 Re
0.500 0.500 0.500 Rh
```

Entry 17:
The following is a GGA-PBE calculation of SmTl2Br6 after structural relaxation, from the Alexandria database.

Calculated values
formation energy without anion corrections: -1.126 eV/atom

```
SmTl2Br6
1.0
4.227 0.000 0.000
0.000 7.804 4.205
0.000 -7.804 4.205
Sm Tl Br
1 2 6
Direct
0.000 0.000 0.000 Sm
0.500 0.338 0.666 Tl
0.500 0.666 0.338 Tl
0.000 0.024 0.413 Br
0.000 0.413 0.024 Br
0.000 0.628 0.628 Br
0.500 0.014 0.774 Br
0.500 0.250 0.250 Br
0.500 0.774 0.014 Br
```

Entry 18:
The following is a GGA-PBE calculation of Hf2InC after structural relaxation, from the Alexandria database.

Calculated values
energy relative to the elements: -693 meV per atom

```
Hf2InC
1.0
1.663 0.960 7.442
-1.663 0.960 7.442
0.000 -1.920 7.442
Hf In C
2 1 1
Direct
0.221 0.221 0.221 Hf
0.779 0.779 0.779 Hf
0.000 0.000 0.000 In
0.500 0.500 0.500 C
```

Entry 19:
The following is a GGA-PBE calculation of SrCoIr2 after structural relaxation, from the Alexandria database.

Calculated values
energy relative to the elements: 602 meV per atom

```
SrCoIr2
1.0
1.435 0.829 9.340
-1.435 0.829 9.340
0.000 -1.657 9.340
Sr Co Ir
1 1 2
Direct
0.000 0.000 0.000 Sr
0.500 0.500 0.500 Co
0.237 0.237 0.237 Ir
0.763 0.763 0.763 Ir
```

Entry 20:
The following is a GGA-PBE calculation of ZrPPbCl2 after structural relaxation, from the Alexandria database.

Calculated values
formation energy without anion corrections: -0.657 eV/atom

```
ZrPPbCl2
1.0
4.987 0.000 0.000
0.000 4.987 0.000
0.000 0.000 5.245
Zr P Pb Cl
1 1 1 2
Direct
0.000 0.000 0.000 Zr
0.000 0.000 0.500 P
0.500 0.500 0.500 Pb
0.000 0.500 0.000 Cl
0.500 0.000 0.000 Cl
```